Here is an optimized crystal structure of GaFeNi from Alexandria. Energies are from PBE-GGA.

It has space group Cm (No. 8), with a = 8.626 Å, b = 3.767 Å, c = 5.054 Å, α = 90.00°, β = 116.78° and γ = 90.00°. The inequivalent atoms are Ga at (0.000, 0.000, 0.000), Ga at (0.160, 0.500, 0.794), Fe at (0.334, 0.000, 0.170), Fe at (0.485, 0.500, 0.477), Ni at (0.164, 0.500, 0.308) and Ni at (0.329, 0.000, 0.658).

As for the energy: -0.4341 Ry/atom. As for the spin magnetization: 9.92 μB/cell. The formation energy comes out at -0.15 eV per atom. As for the density of states at the Fermi level: 9.60 states/eV/cell.